CoRuN2O | PBE with a Hubbard U | optimized geometry

Computed properties:
For the total energy, the calculation gives -5.990 eV/atom.

```
data_CoRuN2O
_cell_length_a 3.6102
_cell_length_b 3.6102
_cell_length_c 3.6471
_cell_angle_alpha 90.00
_cell_angle_beta 90.00
_cell_angle_gamma 90.00
_space_group_name_H-M_alt 'P 4/m m m'
_space_group_IT_number 123
_space_group_name_Hall '-P 4 2'
loop_
_atom_site_label
_atom_site_type_symbol
_atom_site_fract_x
_atom_site_fract_y
_atom_site_fract_z
Co1 Co 0.0000 0.0000 0.0000
Ru1 Ru 0.5000 0.5000 0.5000
N1 N 0.0000 0.5000 0.0000
O1 O 0.0000 0.0000 0.5000
```